A plane-wave DFT calculation with PBEsol was carried out for a relaxed PtAuI2N crystal.

Results
ρ	9547	kg/m3
E_tot	-19.8	eV for the cell shown
formation energy (no corrections)	3.13	eV/f.u.

Structure (CIF):
```
data_PtAuI2N
_symmetry_space_group_name_H-M 'P 4/m m m'
_symmetry_Int_Tables_number 123
_symmetry_space_group_name_Hall '-P 4 2'
_cell_length_a 5.5930
_cell_length_b 5.5930
_cell_length_c 3.6690
_cell_angle_alpha 90.00
_cell_angle_beta 90.00
_cell_angle_gamma 90.00
loop_
_atom_site_label
_atom_site_type_symbol
_atom_site_fract_x
_atom_site_fract_y
_atom_site_fract_z
Pt1 Pt 0.0000 0.0000 0.0000
Au1 Au 0.5000 0.5000 0.5000
I1 I 0.0000 0.5000 0.0000
N1 N 0.0000 0.0000 0.5000
```